TbZn2CuAu4: relaxed, PBE-GGA.

The space group is R-3m (No. 166, hexagonal axes) and the conventional cell measures 4.4295, 4.4295 and 25.9228 Å, with angles of 90.00, 90.00 and 120.00 degrees. Symmetry generates all atoms from Tb at (0.0000, 0.0000, 0.0000), Zn at (0.0000, 0.0000, 0.2401), Cu at (0.0000, 0.0000, 0.5000), Au at (0.0000, 0.0000, 0.1312) and Au at (0.0000, 0.0000, 0.3964).

As for the energy relative to the elements: -3.00 eV/f.u.